Run w
Here is a relaxed structure of Ta3AlH from Alexandria. Energies are from PBE.

CIF file:
```
data_Ta3AlH
_cell_length_a 4.169
_cell_length_b 4.169
_cell_length_c 4.169
_cell_angle_alpha 90.00
_cell_angle_beta 90.00
_cell_angle_gamma 90.00
_symmetry_space_group_name_H-M 'P m -3 m'
_symmetry_Int_Tables_number 221
_symmetry_space_group_name_Hall '-P 4 2 3'
loop_
_atom_site_label
_atom_site_type_symbol
_atom_site_fract_x
_atom_site_fract_y
_atom_site_fract_z
_atom_site_occupancy
Ta1 Ta 0.000 0.000 0.500 1
Al1 Al 0.500 0.500 0.500 1
H1 H 0.000 0.000 0.000 1
```

crystal system = cubic

Run x
Here is a relaxed structure of Ta3AlH from Alexandria. Energies are from PBE.

CIF file:
```
data_Ta3AlH
_cell_length_a 5.661
_cell_length_b 4.624
_cell_length_c 5.669
_cell_angle_alpha 90.00
_cell_angle_beta 98.85
_cell_angle_gamma 90.00
_symmetry_space_group_name_H-M 'P 1 21/m 1'
_symmetry_Int_Tables_number 11
_symmetry_space_group_name_Hall '-P 2yb'
loop_
_atom_site_label
_atom_site_type_symbol
_atom_site_fract_x
_atom_site_fract_y
_atom_site_fract_z
_atom_site_occupancy
Ta1 Ta 0.093 0.250 0.138 1
Ta2 Ta 0.169 0.250 0.659 1
Ta3 Ta 0.325 0.750 0.392 1
Al1 Al 0.402 0.750 0.911 1
H1 H 0.357 0.250 0.403 1
```

crystal system = monoclinic

Most stable pick: run w. Distance to second place: 66 meV/atom.

Run w
Here is a relaxed structure of TaAl2H from Alexandria. Energies are from PBE.

CIF file:
```
data_TaAl2H
_cell_length_a 5.522
_cell_length_b 5.522
_cell_length_c 6.993
_cell_angle_alpha 90.00
_cell_angle_beta 90.00
_cell_angle_gamma 90.00
_symmetry_space_group_name_H-M 'I -4 2 d'
_symmetry_Int_Tables_number 122
_symmetry_space_group_name_Hall 'I -4 2bw'
loop_
_atom_site_label
_atom_site_type_symbol
_atom_site_fract_x
_atom_site_fract_y
_atom_site_fract_z
_atom_site_occupancy
Ta1 Ta 0.000 0.000 0.000 1
Al1 Al 0.097 0.750 0.625 1
H1 H 0.000 0.000 0.500 1
```

crystal system = tetragonal

Run x
Here is a relaxed structure of TaAl2H from Alexandria. Energies are from PBE.

CIF file:
```
data_TaAl2H
_cell_length_a 6.251
_cell_length_b 6.251
_cell_length_c 6.251
_cell_angle_alpha 90.00
_cell_angle_beta 90.00
_cell_angle_gamma 90.00
_symmetry_space_group_name_H-M 'F m -3 m'
_symmetry_Int_Tables_number 225
_symmetry_space_group_name_Hall '-F 4 2 3'
loop_
_atom_site_label
_atom_site_type_symbol
_atom_site_fract_x
_atom_site_fract_y
_atom_site_fract_z
_atom_site_occupancy
Ta1 Ta 0.000 0.000 0.000 1
Al1 Al 0.250 0.250 0.250 1
H1 H 0.000 0.000 0.500 1
```

crystal system = cubic

Most stable pick: run w. Distance to second place: 601 meV/atom.